[1]
Compound: ReAgP
Source: Alexandria
Functional: PBE
Structure: optimized geometry

## Properties
For the density of states at the Fermi level, the calculation gives 6.3 states/eV per cell. The energy relative to the elements is 0.25 eV/atom. For the magnetization, the calculation gives 0.189 μB/atom. The energy above the most stable polymorph in this dataset comes out at 215 meV/atom.

abc: 3.0397 3.0397 10.2558
angles: 90.00 90.00 90.00
Space group I4mm (No. 107)
Unique sites:
Re 0.0000 0.0000 0.0000 (multiplicity 2)
Ag 0.0000 0.0000 0.2960 (multiplicity 2)
P 0.0000 0.0000 0.6050 (multiplicity 2)



[2]
Compound: SrLaPt2
Source: Alexandria
Functional: PBE
Structure: optimized geometry

## Properties
For the density of states at the Fermi level, the calculation gives 7.2 states/eV per cell. The energy relative to the elements is -0.89 eV/atom. For the magnetization, the calculation gives 0.000 μB/atom. The energy above the most stable polymorph in this dataset comes out at 113 meV/atom.

abc: 4.1871 4.1871 22.3876
angles: 90.00 90.00 120.00
Space group R3m (No. 160, hexagonal axes)
Unique sites:
Sr 0.0000 0.0000 0.0000 (multiplicity 3)
La 0.0000 0.0000 0.1712 (multiplicity 3)
Pt 0.0000 0.0000 0.5808 (multiplicity 3)
Pt 0.0000 0.0000 0.7593 (multiplicity 3)



[3]
Compound: Ce2LuIn
Source: Alexandria
Functional: PBE
Structure: optimized geometry

## Properties
For the density of states at the Fermi level, the calculation gives 9.0 states/eV per cell. The energy relative to the elements is -0.21 eV/atom. For the magnetization, the calculation gives 0.401 μB/atom. The energy above the most stable polymorph in this dataset comes out at 0 meV/atom.

abc: 4.5791 4.5791 5.1582
angles: 90.00 90.00 90.00
Space group P4/mmm (No. 123)
Unique sites:
Ce 0.0000 0.5000 0.0000 (multiplicity 2)
Lu 0.0000 0.0000 0.5000 (multiplicity 1)
In 0.5000 0.5000 0.5000 (multiplicity 1)



[4]
Compound: Nd2DyHoSe4
Source: Alexandria
Functional: PBE
Structure: optimized geometry

## Properties
For the density of states at the Fermi level, the calculation gives 4.0 states/eV per cell. The formation energy (no corrections) is -1.7918 eV/atom. For the magnetization, the calculation gives 0.000 μB/atom.

abc: 7.1096 4.0778 7.3512
angles: 90.00 108.62 90.00
Space group P2/m (No. 10)
Unique sites:
Nd 0.0000 0.0000 0.0000 (multiplicity 1)
Nd 0.5000 0.5000 0.0000 (multiplicity 1)
Dy 0.0000 0.5000 0.5000 (multiplicity 1)
Ho 0.5000 0.0000 0.5000 (multiplicity 1)
Se 0.2456 0.0000 0.7345 (multiplicity 2)
Se 0.2564 0.5000 0.2660 (multiplicity 2)



[5]
Compound: CePm2Ho
Source: Alexandria
Functional: PBE
Structure: optimized geometry

## Properties
For the density of states at the Fermi level, the calculation gives 22.7 states/eV per cell. The energy relative to the elements is 0.21 eV/atom. For the magnetization, the calculation gives 0.097 μB/atom. The energy above the most stable polymorph in this dataset comes out at 140 meV/atom.

abc: 3.4907 3.4907 37.0131
angles: 90.00 90.00 120.00
Space group R-3m (No. 166, hexagonal axes)
Unique sites:
Ce 0.0000 0.0000 0.0000 (multiplicity 3)
Pm 0.0000 0.0000 0.4097 (multiplicity 6)
Ho 0.0000 0.0000 0.5000 (multiplicity 3)



[6]
Compound: Sr6ZnCu
Source: Alexandria
Functional: PBE
Structure: optimized geometry

## Properties
For the density of states at the Fermi level, the calculation gives 14.8 states/eV per cell. The energy relative to the elements is -0.02 eV/atom. For the magnetization, the calculation gives 0.000 μB/atom.

abc: 4.3552 11.6048 14.2584
angles: 90.00 90.00 90.00
Space group Amm2 (No. 38)
Unique sites:
Sr 0.0000 0.0000 0.0000 (multiplicity 2)
Sr 0.0000 0.1798 0.7441 (multiplicity 4)
Sr 0.5000 0.0000 0.2466 (multiplicity 2)
Sr 0.5000 0.1896 0.4944 (multiplicity 4)
Zn 0.0000 0.0000 0.5679 (multiplicity 2)
Cu 0.5000 0.0000 0.6552 (multiplicity 2)



[7]
Compound: Zr2PdC
Source: Alexandria
Functional: PBE
Structure: optimized geometry

## Properties
For the density of states at the Fermi level, the calculation gives 11.0 states/eV per cell. The energy relative to the elements is -0.71 eV/atom. For the magnetization, the calculation gives 0.000 μB/atom.

abc: 3.2791 16.7987 4.7397
angles: 90.00 90.00 90.00
Space group Cmcm (No. 63)
Unique sites:
Zr 0.0000 0.0981 0.2500 (multiplicity 4)
Zr 0.0000 0.2908 0.2500 (multiplicity 4)
Pd 0.0000 0.4563 0.2500 (multiplicity 4)
C 0.0000 0.3048 0.7500 (multiplicity 4)



[8]
Compound: SnGeAu
Source: Alexandria
Functional: PBE
Structure: optimized geometry

## Properties
For the density of states at the Fermi level, the calculation gives 1.1 states/eV per cell. The energy relative to the elements is 0.00 eV/atom. For the magnetization, the calculation gives 0.000 μB/atom.

abc: 4.1578 4.1578 4.5542
angles: 90.00 90.00 120.00
Space group P3m1 (No. 156)
Unique sites:
Sn 0.0000 0.0000 0.0000 (multiplicity 1)
Ge 0.6667 0.3333 0.4061 (multiplicity 1)
Au 0.3333 0.6667 0.6564 (multiplicity 1)